Computed, not measured: a relaxed Cs2YPdO4 crystal at the GGA-PBE level of DFT.

Cell lengths 13.8662, 12.3367, 7.5978 Å; angles 84.60, 62.34, 33.06 degrees
Element x y z (fractional)
Cs: 0.0640 0.0640 0.6860
Cs: 0.3140 0.3140 0.9360
Cs: 0.6860 0.6860 0.0640
Cs: 0.9360 0.9360 0.3140
Y: 0.1250 0.1250 0.1250
Y: 0.8750 0.8750 0.8750
Pd: 0.3750 0.3750 0.3750
Pd: 0.6250 0.6250 0.6250
O: 0.0190 0.6917 0.5298
O: 0.2596 0.5298 0.6917
O: 0.3083 0.9810 0.7404
O: 0.4702 0.7404 0.9810
O: 0.5298 0.2596 0.0190
O: 0.6917 0.0190 0.2596
O: 0.7404 0.4702 0.3083
O: 0.9810 0.3083 0.4702

As for the energy: -88.97 eV for the cell shown. Its crystal system is orthorhombic. The calculation puts the uncorrected formation energy at -136.1 kJ/mol of atoms.